# AcPrLuTh (PBE, optimized geometry)
data_AcPrLuTh
_chemical_formula_sum 'Ac1 Pr1 Lu1 Th1'
_cell_length_a 5.871
_cell_length_b 5.871
_cell_length_c 5.871
_cell_angle_alpha 60.00
_cell_angle_beta 60.00
_cell_angle_gamma 60.00
_symmetry_space_group_name_H-M 'P 1'
_symmetry_Int_Tables_number 1
_symmetry_space_group_name_Hall 'P 1'
loop_
_atom_site_label
_atom_site_type_symbol
_atom_site_fract_x
_atom_site_fract_y
_atom_site_fract_z
Pr1 Pr 0.250 0.250 0.250
Ac1 Ac 0.500 0.500 0.500
Lu1 Lu 0.000 0.000 0.000
Th1 Th 0.750 0.750 0.750
# total magnetic moment = 0.0 Bohr magnetons per cell
# crystal system = cubic
# space group = F-43m (216)
# N(E_F) = 2.61 states/eV per atom

=====

# AcPrLuTl (PBE, optimized geometry)
data_AcPrLuTl
_chemical_formula_sum 'Ac1 Pr1 Lu1 Tl1'
_cell_length_a 5.667
_cell_length_b 5.667
_cell_length_c 5.667
_cell_angle_alpha 60.00
_cell_angle_beta 60.00
_cell_angle_gamma 60.00
_symmetry_space_group_name_H-M 'P 1'
_symmetry_Int_Tables_number 1
_symmetry_space_group_name_Hall 'P 1'
loop_
_atom_site_label
_atom_site_type_symbol
_atom_site_fract_x
_atom_site_fract_y
_atom_site_fract_z
Pr1 Pr 0.500 0.500 0.500
Ac1 Ac 0.750 0.750 0.750
Lu1 Lu 0.000 0.000 0.000
Tl1 Tl 0.250 0.250 0.250
# total magnetic moment = 0.0 Bohr magnetons per cell
# crystal system = cubic
# space group = F-43m (216)
# N(E_F) = 1.86 states/eV per atom

=====

# AcPrTmLu (PBE, optimized geometry)
data_AcPrTmLu
_chemical_formula_sum 'Ac1 Pr1 Tm1 Lu1'
_cell_length_a 5.834
_cell_length_b 5.834
_cell_length_c 5.834
_cell_angle_alpha 60.00
_cell_angle_beta 60.00
_cell_angle_gamma 60.00
_symmetry_space_group_name_H-M 'P 1'
_symmetry_Int_Tables_number 1
_symmetry_space_group_name_Hall 'P 1'
loop_
_atom_site_label
_atom_site_type_symbol
_atom_site_fract_x
_atom_site_fract_y
_atom_site_fract_z
Pr1 Pr 0.250 0.250 0.250
Ac1 Ac 0.750 0.750 0.750
Lu1 Lu 0.000 0.000 0.000
Tm1 Tm 0.500 0.500 0.500
# total magnetic moment = 0.0 Bohr magnetons per cell
# crystal system = cubic
# space group = F-43m (216)
# N(E_F) = 1.56 states/eV per atom

=====

# AcPrYLu (PBE, optimized geometry)
data_AcPrYLu
_chemical_formula_sum 'Ac1 Pr1 Y1 Lu1'
_cell_length_a 5.870
_cell_length_b 5.870
_cell_length_c 5.870
_cell_angle_alpha 60.00
_cell_angle_beta 60.00
_cell_angle_gamma 60.00
_symmetry_space_group_name_H-M 'P 1'
_symmetry_Int_Tables_number 1
_symmetry_space_group_name_Hall 'P 1'
loop_
_atom_site_label
_atom_site_type_symbol
_atom_site_fract_x
_atom_site_fract_y
_atom_site_fract_z
Pr1 Pr 0.250 0.250 0.250
Y1 Y 0.750 0.750 0.750
Ac1 Ac 0.000 0.000 0.000
Lu1 Lu 0.500 0.500 0.500
# total magnetic moment = 0.0 Bohr magnetons per cell
# crystal system = cubic
# space group = F-43m (216)
# N(E_F) = 2.52 states/eV per atom

=====

# AcLu2Pt (PBE, optimized geometry)
data_AcLu2Pt
_chemical_formula_sum 'Ac1 Lu2 Pt1'
_cell_length_a 4.019
_cell_length_b 4.019
_cell_length_c 9.512
_cell_angle_alpha 77.80
_cell_angle_beta 77.80
_cell_angle_gamma 60.00
_symmetry_space_group_name_H-M 'P 1'
_symmetry_Int_Tables_number 1
_symmetry_space_group_name_Hall 'P 1'
loop_
_atom_site_label
_atom_site_type_symbol
_atom_site_fract_x
_atom_site_fract_y
_atom_site_fract_z
Ac1 Ac 0.500 0.500 0.500
Lu1 Lu 0.280 0.280 0.160
Lu2 Lu 0.720 0.720 0.840
Pt1 Pt 0.000 0.000 0.000
# total magnetic moment = 0.0 Bohr magnetons per cell
# crystal system = trigonal
# E above lowest polymorph = 0.17 eV/f.u.
# space group = R-3m (166)
# N(E_F) = 1.09 states/eV per atom

=====

# AcLuPt (PBE, optimized geometry)
data_AcLuPt
_chemical_formula_sum 'Ac1 Lu1 Pt1'
_cell_length_a 6.313
_cell_length_b 4.260
_cell_length_c 4.260
_cell_angle_alpha 120.00
_cell_angle_beta 90.00
_cell_angle_gamma 90.00
_symmetry_space_group_name_H-M 'P 1'
_symmetry_Int_Tables_number 1
_symmetry_space_group_name_Hall 'P 1'
loop_
_atom_site_label
_atom_site_type_symbol
_atom_site_fract_x
_atom_site_fract_y
_atom_site_fract_z
Ac1 Ac 0.592 0.667 0.333
Lu1 Lu 0.105 0.000 0.000
Pt1 Pt 0.303 0.333 0.667
# total magnetic moment = 0.0 Bohr magnetons per cell
# crystal system = trigonal
# E above lowest polymorph = 0.00 eV/f.u.
# space group = P3m1 (156)
# N(E_F) = 0.92 states/eV per atom

=====

# AcLuPt4 (PBE, optimized geometry)
data_AcLuPt4
_chemical_formula_sum 'Ac1 Lu1 Pt4'
_cell_length_a 5.533
_cell_length_b 5.533
_cell_length_c 5.533
_cell_angle_alpha 60.00
_cell_angle_beta 60.00
_cell_angle_gamma 60.00
_symmetry_space_group_name_H-M 'P 1'
_symmetry_Int_Tables_number 1
_symmetry_space_group_name_Hall 'P 1'
loop_
_atom_site_label
_atom_site_type_symbol
_atom_site_fract_x
_atom_site_fract_y
_atom_site_fract_z
Ac1 Ac 0.250 0.250 0.250
Lu1 Lu 0.000 0.000 0.000
Pt1 Pt 0.626 0.626 0.123
Pt2 Pt 0.626 0.123 0.626
Pt3 Pt 0.626 0.626 0.626
Pt4 Pt 0.123 0.626 0.626
# total magnetic moment = 0.0 Bohr magnetons per cell
# crystal system = cubic
# space group = F-43m (216)
# N(E_F) = 0.43 states/eV per atom

=====

# AcLu2Pt (PBE, optimized geometry)
data_AcLu2Pt
_chemical_formula_sum 'Ac1 Lu2 Pt1'
_cell_length_a 3.559
_cell_length_b 3.559
_cell_length_c 8.853
_cell_angle_alpha 90.00
_cell_angle_beta 90.00
_cell_angle_gamma 90.00
_symmetry_space_group_name_H-M 'P 1'
_symmetry_Int_Tables_number 1
_symmetry_space_group_name_Hall 'P 1'
loop_
_atom_site_label
_atom_site_type_symbol
_atom_site_fract_x
_atom_site_fract_y
_atom_site_fract_z
Ac1 Ac 0.500 0.500 0.500
Lu1 Lu 0.000 0.000 0.822
Lu2 Lu 0.000 0.000 0.178
Pt1 Pt 0.500 0.500 0.000
# total magnetic moment = 0.0 Bohr magnetons per cell
# crystal system = tetragonal
# E above lowest polymorph = 0.00 eV/f.u.
# space group = P4/mmm (123)
# N(E_F) = 0.95 states/eV per atom

=====

# AcLuPt (PBE, optimized geometry)
data_AcLuPt
_chemical_formula_sum 'Ac1 Lu1 Pt1'
_cell_length_a 5.068
_cell_length_b 5.068
_cell_length_c 5.068
_cell_angle_alpha 60.00
_cell_angle_beta 60.00
_cell_angle_gamma 60.00
_symmetry_space_group_name_H-M 'P 1'
_symmetry_Int_Tables_number 1
_symmetry_space_group_name_Hall 'P 1'
loop_
_atom_site_label
_atom_site_type_symbol
_atom_site_fract_x
_atom_site_fract_y
_atom_site_fract_z
Ac1 Ac 0.000 0.000 0.000
Lu1 Lu 0.500 0.500 0.500
Pt1 Pt 0.250 0.250 0.250
# total magnetic moment = 0.0 Bohr magnetons per cell
# crystal system = cubic
# E above lowest polymorph = 0.17 eV/f.u.
# space group = F-43m (216)
# N(E_F) = 0.83 states/eV per atom

=====

# Ac2LuPt (PBE, optimized geometry)
data_Ac2LuPt
_chemical_formula_sum 'Ac2 Lu1 Pt1'
_cell_length_a 3.907
_cell_length_b 3.907
_cell_length_c 8.422
_cell_angle_alpha 90.00
_cell_angle_beta 90.00
_cell_angle_gamma 90.00
_symmetry_space_group_name_H-M 'P 1'
_symmetry_Int_Tables_number 1
_symmetry_space_group_name_Hall 'P 1'
loop_
_atom_site_label
_atom_site_type_symbol
_atom_site_fract_x
_atom_site_fract_y
_atom_site_fract_z
Ac1 Ac 0.000 0.000 0.791
Ac2 Ac 0.000 0.000 0.209
Lu1 Lu 0.500 0.500 0.500
Pt1 Pt 0.500 0.500 0.000
# total magnetic moment = 0.0 Bohr magnetons per cell
# crystal system = tetragonal
# space group = P4/mmm (123)
# N(E_F) = 0.89 states/eV per atom

=====

# AcLu3Pt (PBE, optimized geometry)
data_AcLu3Pt
_chemical_formula_sum 'Ac1 Lu3 Pt1'
_cell_length_a 5.438
_cell_length_b 5.438
_cell_length_c 5.438
_cell_angle_alpha 90.00
_cell_angle_beta 90.00
_cell_angle_gamma 90.00
_symmetry_space_group_name_H-M 'P 1'
_symmetry_Int_Tables_number 1
_symmetry_space_group_name_Hall 'P 1'
loop_
_atom_site_label
_atom_site_type_symbol
_atom_site_fract_x
_atom_site_fract_y
_atom_site_fract_z
Ac1 Ac 0.500 0.500 0.500
Lu1 Lu 0.000 0.500 0.000
Lu2 Lu 0.000 0.000 0.500
Lu3 Lu 0.500 0.000 0.000
Pt1 Pt 0.000 0.000 0.000
# total magnetic moment = 0.0 Bohr magnetons per cell
# crystal system = cubic
# space group = Pm-3m (221)
# N(E_F) = 1.15 states/eV per atom

=====

# AcLuPtRh (PBE, optimized geometry)
data_AcLuPtRh
_chemical_formula_sum 'Ac1 Lu1 Pt1 Rh1'
_cell_length_a 5.069
_cell_length_b 5.069
_cell_length_c 5.069
_cell_angle_alpha 60.00
_cell_angle_beta 60.00
_cell_angle_gamma 60.00
_symmetry_space_group_name_H-M 'P 1'
_symmetry_Int_Tables_number 1
_symmetry_space_group_name_Hall 'P 1'
loop_
_atom_site_label
_atom_site_type_symbol
_atom_site_fract_x
_atom_site_fract_y
_atom_site_fract_z
Ac1 Ac 0.500 0.500 0.500
Lu1 Lu 0.000 0.000 0.000
Rh1 Rh 0.250 0.250 0.250
Pt1 Pt 0.750 0.750 0.750
# total magnetic moment = 0.0 Bohr magnetons per cell
# crystal system = cubic
# space group = F-43m (216)
# N(E_F) = 0.60 states/eV per atom

=====

Going through the records in order, we get formation energy values of 0.99 0.20 0.37 0.67 -2.34 -2.34 -6.18 -2.50 -2.17 -1.73 -2.41 -3.38 eV per formula unit.